No. 1
{"formula": "PaTa4Se8", "functional": "PBE-GGA", "state": "relaxed", "lattice_angstrom": [[3.602, 2.079, 6.608], [-3.602, 2.079, 6.608], [0.000, -4.159, 6.608]], "species": ["Pa", "Ta", "Ta", "Ta", "Ta", "Se", "Se", "Se", "Se", "Se", "Se", "Se", "Se"], "frac_coords": [[0.000, 0.000, 0.000], [0.000, 0.000, 0.500], [0.000, 0.500, 0.000], [0.500, 0.000, 0.000], [0.500, 0.500, 0.500], [0.248, 0.248, 0.248], [0.259, 0.259, 0.734], [0.259, 0.734, 0.259], [0.266, 0.741, 0.741], [0.734, 0.259, 0.259], [0.741, 0.266, 0.741], [0.741, 0.741, 0.266], [0.752, 0.752, 0.752]], "formation_energy_uncorrected_mev_per_atom": -785, "crystal_system": "trigonal"}

=====

No. 2
{"formula": "SrLiHg4", "functional": "PBE-GGA", "state": "relaxed", "lattice_angstrom": [[4.628, 0.000, 0.000], [0.000, 4.628, 0.000], [0.000, 0.000, 8.073]], "species": ["Sr", "Li", "Hg", "Hg", "Hg", "Hg"], "frac_coords": [[0.000, 0.000, 0.000], [0.500, 0.500, 0.500], [0.000, 0.500, 0.305], [0.000, 0.500, 0.695], [0.500, 0.000, 0.305], [0.500, 0.000, 0.695]], "e_form_mev_per_atom": -266, "polymorph_energy_mev_per_atom": 82, "crystal_system": "tetragonal"}

=====

No. 3
{"formula": "Li2FeRh", "functional": "PBE-GGA", "state": "relaxed", "lattice_angstrom": [[3.542, 0.000, 0.000], [0.000, 3.542, 0.000], [0.000, 0.000, 4.237]], "species": ["Li", "Li", "Fe", "Rh"], "frac_coords": [[0.000, 0.500, 0.000], [0.500, 0.000, 0.000], [0.000, 0.000, 0.500], [0.500, 0.500, 0.500]], "e_form_mev_per_atom": 22, "crystal_system": "tetragonal"}

=====

No. 4
{"formula": "Sc2FeSb", "functional": "PBE-GGA", "state": "relaxed", "lattice_angstrom": [[0.000, 3.290, 3.290], [3.290, 0.000, 3.290], [3.290, 3.290, 0.000]], "species": ["Sc", "Sc", "Fe", "Sb"], "frac_coords": [[0.000, 0.000, 0.000], [0.250, 0.250, 0.250], [0.750, 0.750, 0.750], [0.500, 0.500, 0.500]], "formation_energy_uncorrected_mev_per_atom": -124, "crystal_system": "cubic"}

=====

| no. | total magnetic moment (μB/f.u.) |
| --- | --- |
| 1 | 0.0 |
| 2 | 0.0 |
| 3 | 3.3 |
| 4 | 0.7 |